This record from Alexandria describes an optimized crystal structure of Tb2ErF. The functional is PBE-GGA.

Cell and atoms, written as extended XYZ:
```
4
Lattice="-1.664 -2.810 -1.708 0.921 -3.470 0.835 -6.176 -2.225 5.703" Properties=species:S:1:pos:R:3 pbc="T T T"
Tb -5.666 -6.389 4.104
Tb -1.253 -2.116 0.725
Er -3.459 -4.253 2.415
F 0.000 0.000 0.000
```

Summary:
- raw formation energy (eV/atom) = -1.14
- energy (eV/atom) = -5.06
- crystal system = trigonal
- density of states at the Fermi level (states/eV/f.u.) = 3.0
- magnetization (μB/atom) = 0.00